(1)
Density functional theory data (PBE) for Dy2ErTmSe5 after structural relaxation.

Cell: 5.0923 5.0923 10.6142 Å, 90.00 90.00 90.00°
Closest atoms and distances in Å follow each position.
Positions (direct):
Dy 0.5000 0.5000 0.3365  4 Se 3.08
Dy 0.5000 0.5000 0.6635  4 Se 3.08
Er 0.0000 0.0000 0.0000  2 Se 2.62
Tm 0.0000 0.0000 0.5000  6 Se 2.55-2.69
Se 0.0000 0.5000 0.5000  2 Tm 2.55
Se 0.5000 0.0000 0.5000  2 Tm 2.55
Se 0.0000 0.0000 0.7535  1 Er 2.62, 1 Tm 2.69
Se 0.0000 0.0000 0.2465  1 Er 2.62, 1 Tm 2.69
Se 0.5000 0.5000 0.0000  2 Dy 3.57, 4 Er 3.60

Computed properties:
The calculation puts the density of states at the Fermi level at 5.5 states/eV/cell. The raw total energy is -5.0862 eV/atom. The value obtained for the magnetic moment is 0.02 μB/cell. For the uncorrected formation energy, the calculation gives -1124 meV per atom.

---

(2)
Density functional theory data (PBE) for TlBi2C after structural relaxation.

Cell: 7.6588 7.6588 6.5526 Å, 54.24 54.24 90.00°
Closest atoms and distances in Å follow each position.
Positions (direct):
C 0.5000 0.5000 0.0000  4 Bi 2.40
C 0.2500 0.7500 0.5000  4 Bi 2.40
Tl 0.0000 0.0000 0.0000  8 Bi 3.45-3.54, 2 C 3.69
Tl 0.7500 0.2500 0.5000  8 Bi 3.45-3.54, 2 C 3.69
Bi 0.5205 0.1250 0.2500  2 C 2.40
Bi 0.2295 0.6250 0.2500  2 C 2.40
Bi 0.3750 0.4795 0.7500  2 C 2.40
Bi 0.8750 0.7705 0.7500  2 C 2.40

Computed properties:
The calculation puts the density of states at the Fermi level at 4.4 states/eV/cell. The raw total energy is -3.9446 eV/atom. Its formation energy is 20.603 kcal/mol of atoms. The value obtained for the magnetic moment is 0.00 μB/cell. For the relative energy among the computed polymorphs, the calculation gives 0.000 eV per atom.

---

(3)
Density functional theory data (PBE) for CrTeAu2 after structural relaxation.

Cell: 5.0917 4.0417 4.0458 Å, 90.26 90.00 90.00°
Closest atoms and distances in Å follow each position.
Positions (direct):
Au 0.0000 0.0105 0.0105  4 Au 2.73-2.97, 2 Cr 2.89, 2 Te 2.95
Au 0.0000 0.4895 0.4895  4 Au 2.73-2.97, 2 Cr 2.89, 2 Te 2.95
Cr 0.5000 0.2500 0.2500  4 Te 2.85-2.87, 4 Au 2.89
Te 0.5000 0.7500 0.7500  4 Cr 2.85-2.87, 4 Au 2.95

Computed properties:
The calculation puts the density of states at the Fermi level at 1.6 states/eV/cell. The raw total energy is -4.7222 eV/atom. The value obtained for the magnetic moment is 3.94 μB/cell. For the uncorrected formation energy, the calculation gives 108 meV per atom.

---

(4)
Density functional theory data (PBE) for Np2Si4PdPt3 after structural relaxation.

Cell: 4.2092 4.2092 9.8850 Å, 90.00 90.00 90.00°
Closest atoms and distances in Å follow each position.
Positions (direct):
Np 0.5000 0.0000 0.2466  8 Si 3.20-3.22, 6 Pt 3.22-3.27, 2 Pd 3.27
Np 0.0000 0.5000 0.7534  8 Si 3.20-3.22, 6 Pt 3.22-3.27, 2 Pd 3.27
Si 0.5000 0.5000 0.0000  4 Pt 2.43
Si 0.0000 0.0000 0.0000  4 Pt 2.43
Si 0.5000 0.0000 0.6346  3 Pt 2.40-2.49, 2 Pd 2.49
Si 0.0000 0.5000 0.3654  3 Pt 2.40-2.49, 2 Pd 2.49
Pd 0.5000 0.5000 0.5000  4 Si 2.49
Pt 0.0000 0.0000 0.5000  4 Si 2.49
Pt 0.5000 0.0000 0.8775  5 Si 2.40-2.43
Pt 0.0000 0.5000 0.1225  5 Si 2.40-2.43

Computed properties:
The calculation puts the density of states at the Fermi level at 21.8 states/eV/cell. The raw total energy is -7.8156 eV/atom. The value obtained for the magnetic moment is 7.75 μB/cell. For the uncorrected formation energy, the calculation gives -727 meV per atom.

---

(5)
Density functional theory data (PBE) for Cr2TcRu after structural relaxation.

Cell: 4.5925 4.5925 4.5487 Å, 80.68 80.68 33.80°
Closest atoms and distances in Å follow each position.
Positions (direct):
Cr 0.0027 0.0027 0.9990  4 Ru 2.58-2.70, 3 Tc 2.58-2.67, 5 Cr 2.66-2.67
Cr 0.7518 0.7518 0.7440  3 Ru 2.60-2.62, 4 Tc 2.62-2.65, 5 Cr 2.66-2.67
Ru 0.4970 0.4970 0.5162  7 Cr 2.58-2.70, 2 Ru 2.67, 3 Tc 2.69-2.70
Tc 0.2486 0.2486 0.2408  7 Cr 2.58-2.67, 2 Tc 2.67, 3 Ru 2.69-2.70

Computed properties:
The calculation puts the density of states at the Fermi level at 4.3 states/eV/cell. The raw total energy is -9.5552 eV/atom. Its formation energy is 3.850 kcal/mol of atoms. The value obtained for the magnetic moment is 0.00 μB/cell.

---

(6)
Density functional theory data (PBE) for LaTcPO2 after structural relaxation.

Cell: 4.0495 4.0495 4.8095 Å, 90.00 90.00 90.00°
Closest atoms and distances in Å follow each position.
Positions (direct):
P 0.0000 0.0000 0.5000  2 Tc 2.40
Tc 0.0000 0.0000 0.0000  4 O 2.02
O 0.0000 0.5000 0.0000  2 Tc 2.02
O 0.5000 0.0000 0.0000  2 Tc 2.02
La 0.5000 0.5000 0.5000  4 P 2.86, 8 O 3.14

Computed properties:
The calculation puts the density of states at the Fermi level at 3.2 states/eV/cell. The raw total energy is -7.4793 eV/atom. The value obtained for the magnetic moment is 1.27 μB/cell. For the uncorrected formation energy, the calculation gives -1355 meV per atom. For the relative energy among the computed polymorphs, the calculation gives 0.000 eV per atom.

---

- The highest raw total energy belongs to which entry?
  TlBi2C

---

- magnetic moment of number 2 (TlBi2C)?
  0.00 μB/cell